This record from Alexandria describes LiB3F after structural relaxation. The functional is PBE.

Summary:
Magnetization in μB per formula unit: 0.00
N(E_F) in states/eV per cell: 1.9
Volume in Å³ per cell: 61.3
E above lowest polymorph in meV per atom: 0.0
Symmetry: No. 221
Raw formation energy in eV per atom: 1.80

Lattice parameters (Å, degrees): 3.9434 3.9434 3.9434 90.00 90.00 90.00
Closest atoms and distances in Å follow each position.
Element x y z (fractional)
B (0.5000, 0.0000, 0.0000)  2 F 1.97
B (0.0000, 0.5000, 0.0000)  2 F 1.97
B (0.0000, 0.0000, 0.5000)  2 F 1.97
F (0.0000, 0.0000, 0.0000)  6 B 1.97
Li (0.5000, 0.5000, 0.5000)  12 B 2.79

=====

This record from Alexandria describes NaLiB2F8 after structural relaxation. The functional is PBE.

Summary:
Magnetization in μB per formula unit: 0.00
N(E_F) in states/eV per cell: 0.0
Volume in Å³ per cell: 134.3
Symmetry: No. 148
Raw formation energy in eV per atom: -2.92

Lattice parameters (Å, degrees): 4.6939 4.6939 7.5420 71.87 71.87 60.00
Closest atoms and distances in Å follow each position.
Element x y z (fractional)
F (0.0069, 0.4353, 0.8215)  1 B 1.41
F (0.4353, 0.7363, 0.8215)  1 B 1.41
F (0.8147, 0.8147, 0.5560)  1 B 1.43
F (0.2637, 0.9931, 0.1785)  1 B 1.41
F (0.7363, 0.0069, 0.8215)  1 B 1.41
F (0.1853, 0.1853, 0.4440)  1 B 1.43
F (0.9931, 0.5647, 0.1785)  1 B 1.41
F (0.5647, 0.2637, 0.1785)  1 B 1.41
B (0.2529, 0.2529, 0.2414)  4 F 1.41-1.43
B (0.7471, 0.7471, 0.7586)  4 F 1.41-1.43
Li (0.0000, 0.0000, 0.0000)  6 F 2.08
Na (0.5000, 0.5000, 0.5000)  12 F 2.74-2.84

=====

This record from Alexandria describes Li2B6O9F2 after structural relaxation. The functional is PBE.

Summary:
Magnetization in μB per formula unit: 0.00
N(E_F) in states/eV per cell: 0.0
Volume in Å³ per cell: 412.6
Symmetry: No. 9
Raw formation energy in eV per atom: -2.52

Lattice parameters (Å, degrees): 8.5800 8.5800 10.2861 89.05 89.05 146.92
Closest atoms and distances in Å follow each position.
Element x y z (fractional)
F (0.1900, 0.2931, 0.0151)  1 B 1.44
F (0.2931, 0.1900, 0.5151)  1 B 1.44
F (0.7460, 0.0185, 0.9657)  1 B 1.44
F (0.0185, 0.7460, 0.4657)  1 B 1.44
O (0.8864, 0.7612, 0.9829)  2 B 1.37-1.48
O (0.6845, 0.8505, 0.2551)  2 B 1.38-1.39
O (0.6680, 0.0682, 0.5498)  2 B 1.36-1.50
O (0.4128, 0.8703, 0.7571)  2 B 1.38-1.42
O (0.3446, 0.5842, 0.6280)  2 B 1.37-1.49
O (0.4472, 0.1506, 0.3496)  2 B 1.34-1.43
O (0.9858, 0.0461, 0.8179)  2 B 1.38-1.47
O (0.3418, 0.6780, 0.4068)  2 B 1.37-1.49
O (0.5842, 0.3446, 0.1280)  2 B 1.37-1.49
O (0.6780, 0.3418, 0.9068)  2 B 1.37-1.49
O (0.1506, 0.4472, 0.8496)  2 B 1.34-1.43
O (0.7301, 0.3392, 0.6759)  2 B 1.37-1.38
O (0.7612, 0.8864, 0.4829)  2 B 1.37-1.48
O (0.0682, 0.6680, 0.0498)  2 B 1.36-1.50
O (0.0461, 0.9858, 0.3179)  2 B 1.38-1.47
O (0.8505, 0.6845, 0.7551)  2 B 1.38-1.39
O (0.3392, 0.7301, 0.1759)  2 B 1.37-1.38
O (0.8703, 0.4128, 0.2571)  2 B 1.38-1.42
B (0.5275, 0.8007, 0.5166)  4 O 1.48-1.50
B (0.0891, 0.5999, 0.1613)  3 O 1.36-1.38
B (0.8296, 0.9049, 0.3559)  3 O 1.37-1.39
B (0.6245, 0.3005, 0.2432)  3 O 1.34-1.42
B (0.9049, 0.8296, 0.8559)  3 O 1.37-1.39
B (0.2029, 0.0205, 0.4097)  2 O 1.43-1.47, 2 F 1.44
B (0.3005, 0.6245, 0.7432)  3 O 1.34-1.42
B (0.7496, 0.4514, 0.7815)  3 O 1.37-1.38
B (0.5999, 0.0891, 0.6613)  3 O 1.36-1.38
B (0.0205, 0.2029, 0.9097)  2 O 1.43-1.47, 2 F 1.44
B (0.8007, 0.5275, 0.0166)  4 O 1.48-1.50
B (0.4514, 0.7496, 0.2815)  3 O 1.37-1.38
Li (0.1590, 0.0836, 0.1192)  1 F 1.89, 2 O 2.08-2.12
Li (0.4608, 0.9454, 0.9494)  1 F 1.96, 3 O 2.03-2.13
Li (0.9454, 0.4608, 0.4494)  1 F 1.96, 3 O 2.03-2.13
Li (0.0836, 0.1590, 0.6192)  1 F 1.89, 2 O 2.08-2.12

=====

This record from Alexandria describes Li2B3O4F3 after structural relaxation. The functional is PBE.

Summary:
Magnetization in μB per formula unit: 0.00
N(E_F) in states/eV per cell: 0.0
Volume in Å³ per cell: 549.5
Symmetry: No. 19
Raw formation energy in eV per atom: -2.66

Lattice parameters (Å, degrees): 4.9914 8.8232 12.4780 90.00 90.00 90.00
Closest atoms and distances in Å follow each position.
Element x y z (fractional)
B (0.9146, 0.5297, 0.5389)  2 O 1.44-1.46, 2 F 1.45-1.46
B (0.5854, 0.4703, 0.0389)  2 O 1.44-1.46, 2 F 1.45-1.46
B (0.4769, 0.4209, 0.2298)  3 O 1.37-1.38
B (0.4146, 0.9703, 0.4611)  2 O 1.44-1.46, 2 F 1.45-1.46
B (0.4168, 0.6821, 0.1610)  3 O 1.46, 1 F 1.46
B (0.9168, 0.8179, 0.8390)  3 O 1.46, 1 F 1.46
B (0.0832, 0.3179, 0.6610)  3 O 1.46, 1 F 1.46
B (0.9769, 0.0791, 0.7702)  3 O 1.37-1.38
B (0.0231, 0.5791, 0.7298)  3 O 1.37-1.38
B (0.0854, 0.0297, 0.9611)  2 O 1.44-1.46, 2 F 1.45-1.46
B (0.5832, 0.1821, 0.3390)  3 O 1.46, 1 F 1.46
B (0.5231, 0.9209, 0.2702)  3 O 1.37-1.38
O (0.5381, 0.3674, 0.1287)  2 B 1.38-1.46
O (0.4383, 0.5730, 0.2485)  2 B 1.38-1.46
O (0.0381, 0.1326, 0.8713)  2 B 1.38-1.46
O (0.5617, 0.0730, 0.2515)  2 B 1.38-1.46
O (0.0505, 0.6739, 0.8162)  2 B 1.37-1.46
O (0.5505, 0.8261, 0.1838)  2 B 1.37-1.46
O (0.4619, 0.8674, 0.3713)  2 B 1.38-1.46
O (0.9495, 0.1739, 0.6838)  2 B 1.37-1.46
O (0.4495, 0.3261, 0.3162)  2 B 1.37-1.46
O (0.0314, 0.8720, 0.9399)  2 B 1.44-1.46
O (0.9383, 0.9270, 0.7515)  2 B 1.38-1.46
O (0.5314, 0.6280, 0.0601)  2 B 1.44-1.46
O (0.0617, 0.4270, 0.7485)  2 B 1.38-1.46
O (0.9686, 0.3720, 0.5601)  2 B 1.44-1.46
O (0.4686, 0.1280, 0.4399)  2 B 1.44-1.46
O (0.9619, 0.6326, 0.6287)  2 B 1.38-1.46
F (0.6416, 0.5492, 0.5028)  1 B 1.45
F (0.0781, 0.5780, 0.4482)  1 B 1.46
F (0.1309, 0.7134, 0.1466)  1 B 1.46
F (0.8691, 0.2134, 0.3534)  1 B 1.46
F (0.1416, 0.9508, 0.4972)  1 B 1.45
F (0.4219, 0.4220, 0.9482)  1 B 1.46
F (0.3691, 0.2866, 0.6466)  1 B 1.46
F (0.5781, 0.9220, 0.5518)  1 B 1.46
F (0.9219, 0.0780, 0.0518)  1 B 1.46
F (0.6309, 0.7866, 0.8534)  1 B 1.46
F (0.8584, 0.4508, 0.0028)  1 B 1.45
F (0.3584, 0.0492, 0.9972)  1 B 1.45
Li (0.8352, 0.7917, 0.0714)  1 F 1.88, 3 O 2.02-2.10
Li (0.1648, 0.2917, 0.4286)  1 F 1.88, 3 O 2.02-2.10
Li (0.9200, 0.8547, 0.6026)  2 F 1.91-1.92, 2 O 1.97-2.00
Li (0.6648, 0.2083, 0.5714)  1 F 1.88, 3 O 2.02-2.10
Li (0.5800, 0.1453, 0.1026)  2 F 1.91-1.92, 2 O 1.97-2.00
Li (0.3352, 0.7083, 0.9286)  1 F 1.88, 3 O 2.02-2.10
Li (0.4200, 0.6453, 0.3974)  2 F 1.91-1.92, 2 O 1.97-2.00
Li (0.0800, 0.3547, 0.8974)  2 F 1.91-1.92, 2 O 1.97-2.00

=====

This record from Alexandria describes LiB6O9F after structural relaxation. The functional is PBE.

Summary:
Magnetization in μB per formula unit: 0.00
N(E_F) in states/eV per cell: 0.0
Volume in Å³ per cell: 751.1
Symmetry: No. 33
Raw formation energy in eV per atom: -2.47

Lattice parameters (Å, degrees): 7.9185 8.6768 10.9323 90.00 90.00 90.00
Closest atoms and distances in Å follow each position.
Element x y z (fractional)
B (0.5457, 0.6549, 0.4833)  3 O 1.35-1.40
B (0.0371, 0.0991, 0.3955)  3 O 1.37-1.39
B (0.3615, 0.6023, 0.3139)  3 O 1.35-1.41
B (0.0574, 0.3516, 0.4868)  3 O 1.35-1.40
B (0.0928, 0.5901, 0.6017)  3 O 1.46-1.49, 1 F 1.47
B (0.5574, 0.1484, 0.4868)  3 O 1.35-1.40
B (0.5371, 0.4009, 0.3955)  3 O 1.37-1.39
B (0.1385, 0.1023, 0.8139)  3 O 1.35-1.41
B (0.9426, 0.6484, 0.9868)  3 O 1.35-1.40
B (0.9072, 0.4099, 0.1017)  3 O 1.46-1.49, 1 F 1.47
B (0.9629, 0.9009, 0.8954)  3 O 1.37-1.39
B (0.4629, 0.5991, 0.8954)  3 O 1.37-1.39
B (0.3713, 0.0989, 0.6536)  3 O 1.37-1.38
B (0.6287, 0.9011, 0.1536)  3 O 1.37-1.38
B (0.6385, 0.3977, 0.8139)  3 O 1.35-1.41
B (0.9543, 0.1549, 0.9833)  3 O 1.35-1.40
B (0.1287, 0.5989, 0.1536)  3 O 1.37-1.38
B (0.4543, 0.3451, 0.9833)  3 O 1.35-1.40
B (0.4426, 0.8516, 0.9868)  3 O 1.35-1.40
B (0.8615, 0.8977, 0.3139)  3 O 1.35-1.41
B (0.0457, 0.8451, 0.4833)  3 O 1.35-1.40
B (0.8713, 0.4011, 0.6536)  3 O 1.37-1.38
B (0.5928, 0.9099, 0.6017)  3 O 1.46-1.49, 1 F 1.47
B (0.4072, 0.0901, 0.1017)  3 O 1.46-1.49, 1 F 1.47
O (0.1306, 0.4918, 0.4969)  2 B 1.35-1.46
O (0.5645, 0.7996, 0.0683)  2 B 1.38-1.39
O (0.0866, 0.9473, 0.8127)  2 B 1.39-1.41
O (0.4134, 0.4473, 0.3127)  2 B 1.39-1.41
O (0.5948, 0.2495, 0.3909)  2 B 1.39-1.40
O (0.2491, 0.6571, 0.2312)  2 B 1.35-1.37
O (0.7491, 0.8429, 0.2312)  2 B 1.35-1.37
O (0.6306, 0.0082, 0.4969)  2 B 1.35-1.46
O (0.3980, 0.2551, 0.0750)  2 B 1.35-1.46
O (0.4355, 0.2004, 0.5683)  2 B 1.38-1.39
O (0.8980, 0.2449, 0.0750)  2 B 1.35-1.46
O (0.9313, 0.7955, 0.3958)  2 B 1.38-1.39
O (0.0701, 0.4504, 0.1611)  2 B 1.37-1.49
O (0.4313, 0.7045, 0.3958)  2 B 1.38-1.39
O (0.2509, 0.1571, 0.7312)  2 B 1.35-1.37
O (0.8694, 0.5082, 0.9969)  2 B 1.35-1.46
O (0.8968, 0.0025, 0.9784)  2 B 1.37-1.40
O (0.6032, 0.5025, 0.4784)  2 B 1.37-1.40
O (0.5866, 0.5527, 0.8127)  2 B 1.39-1.41
O (0.6020, 0.7449, 0.5750)  2 B 1.35-1.46
O (0.1032, 0.9975, 0.4784)  2 B 1.37-1.40
O (0.9052, 0.7495, 0.8909)  2 B 1.39-1.40
O (0.0948, 0.2505, 0.3909)  2 B 1.39-1.40
O (0.9134, 0.0527, 0.3127)  2 B 1.39-1.41
O (0.0645, 0.7004, 0.0683)  2 B 1.38-1.39
O (0.7509, 0.3429, 0.7312)  2 B 1.35-1.37
O (0.3968, 0.4975, 0.9784)  2 B 1.37-1.40
O (0.4052, 0.7505, 0.8909)  2 B 1.39-1.40
O (0.4299, 0.9504, 0.6611)  2 B 1.37-1.49
O (0.9355, 0.2996, 0.5683)  2 B 1.38-1.39
O (0.0687, 0.2045, 0.8958)  2 B 1.38-1.39
O (0.3694, 0.9918, 0.9969)  2 B 1.35-1.46
O (0.5687, 0.2955, 0.8958)  2 B 1.38-1.39
O (0.9299, 0.5496, 0.6611)  2 B 1.37-1.49
O (0.5701, 0.0496, 0.1611)  2 B 1.37-1.49
O (0.1020, 0.7551, 0.5750)  2 B 1.35-1.46
Li (0.7384, 0.2006, 0.2268)  4 O 2.00-2.17, 1 F 2.01
Li (0.2384, 0.2994, 0.2268)  4 O 2.00-2.17, 1 F 2.01
Li (0.7616, 0.7006, 0.7268)  4 O 2.00-2.17, 1 F 2.01
Li (0.2616, 0.7994, 0.7268)  4 O 2.00-2.17, 1 F 2.01
F (0.2250, 0.5735, 0.6948)  1 B 1.47
F (0.7750, 0.4265, 0.1948)  1 B 1.47
F (0.7250, 0.9265, 0.6948)  1 B 1.47
F (0.2750, 0.0735, 0.1948)  1 B 1.47

=====

This record from Alexandria describes RbLi6B2O6F after structural relaxation. The functional is PBE.

Summary:
Magnetization in μB per formula unit: 0.00
N(E_F) in states/eV per cell: 0.0
Volume in Å³ per cell: 720.0
Symmetry: No. 62
Raw formation energy in eV per atom: -2.30

Lattice parameters (Å, degrees): 5.1532 8.5502 16.3410 90.00 90.00 90.00
Closest atoms and distances in Å follow each position.
Element x y z (fractional)
O (0.4776, 0.0699, 0.1052)  1 B 1.38
O (0.5224, 0.9301, 0.6052)  1 B 1.38
O (0.9516, 0.7087, 0.9228)  1 B 1.40
O (0.8620, 0.9225, 0.4293)  1 B 1.41
O (0.1380, 0.0775, 0.9293)  1 B 1.41
O (0.6380, 0.4225, 0.0707)  1 B 1.41
O (0.5224, 0.9301, 0.8948)  1 B 1.38
O (0.5484, 0.2087, 0.5772)  1 B 1.40
O (0.0484, 0.2913, 0.4228)  1 B 1.40
O (0.0224, 0.5699, 0.3948)  1 B 1.38
O (0.1380, 0.0775, 0.5707)  1 B 1.41
O (0.6380, 0.4225, 0.4293)  1 B 1.41
O (0.9776, 0.4301, 0.8948)  1 B 1.38
O (0.8620, 0.9225, 0.0707)  1 B 1.41
O (0.9516, 0.7087, 0.5772)  1 B 1.40
O (0.4516, 0.7913, 0.4228)  1 B 1.40
O (0.9776, 0.4301, 0.6052)  1 B 1.38
O (0.5484, 0.2087, 0.9228)  1 B 1.40
O (0.0484, 0.2913, 0.0772)  1 B 1.40
O (0.4516, 0.7913, 0.0772)  1 B 1.40
O (0.0224, 0.5699, 0.1052)  1 B 1.38
O (0.4776, 0.0699, 0.3948)  1 B 1.38
O (0.3620, 0.5775, 0.9293)  1 B 1.41
O (0.3620, 0.5775, 0.5707)  1 B 1.41
B (0.9059, 0.4297, 0.4135)  3 O 1.38-1.41
B (0.4059, 0.0703, 0.9135)  3 O 1.38-1.41
B (0.0941, 0.5703, 0.5865)  3 O 1.38-1.41
B (0.4059, 0.0703, 0.5865)  3 O 1.38-1.41
B (0.9059, 0.4297, 0.0865)  3 O 1.38-1.41
B (0.0941, 0.5703, 0.9135)  3 O 1.38-1.41
B (0.5941, 0.9297, 0.4135)  3 O 1.38-1.41
B (0.5941, 0.9297, 0.0865)  3 O 1.38-1.41
Li (0.6162, 0.7135, 0.6388)  1 F 1.84, 2 O 1.99-2.00
Li (0.6364, 0.4270, 0.9424)  4 O 1.92-2.10
Li (0.8636, 0.9270, 0.5576)  4 O 1.92-2.10
Li (0.3838, 0.2865, 0.3612)  1 F 1.84, 2 O 1.99-2.00
Li (0.7021, 0.1991, 0.4631)  4 O 1.95-2.06
Li (0.1162, 0.7865, 0.3612)  1 F 1.84, 2 O 1.99-2.00
Li (0.8838, 0.2135, 0.8612)  1 F 1.84, 2 O 1.99-2.00
Li (0.6162, 0.7135, 0.8612)  1 F 1.84, 2 O 1.99-2.00
Li (0.3636, 0.5730, 0.0576)  4 O 1.92-2.10
Li (0.3838, 0.2865, 0.1388)  1 F 1.84, 2 O 1.99-2.00
Li (0.6364, 0.4270, 0.5576)  4 O 1.92-2.10
Li (0.1364, 0.0730, 0.4424)  4 O 1.92-2.10
Li (0.7979, 0.6991, 0.4631)  4 O 1.95-2.06
Li (0.7979, 0.6991, 0.0369)  4 O 1.95-2.06
Li (0.2021, 0.3009, 0.9631)  4 O 1.95-2.06
Li (0.3636, 0.5730, 0.4424)  4 O 1.92-2.10
Li (0.1162, 0.7865, 0.1388)  1 F 1.84, 2 O 1.99-2.00
Li (0.2021, 0.3009, 0.5369)  4 O 1.95-2.06
Li (0.1364, 0.0730, 0.0576)  4 O 1.92-2.10
Li (0.7021, 0.1991, 0.0369)  4 O 1.95-2.06
Li (0.2979, 0.8009, 0.9631)  4 O 1.95-2.06
Li (0.8636, 0.9270, 0.9424)  4 O 1.92-2.10
Li (0.2979, 0.8009, 0.5369)  4 O 1.95-2.06
Li (0.8838, 0.2135, 0.6388)  1 F 1.84, 2 O 1.99-2.00
F (0.5840, 0.6831, 0.7500)  2 Li 1.84
F (0.0840, 0.8169, 0.2500)  2 Li 1.84
F (0.9160, 0.1831, 0.7500)  2 Li 1.84
F (0.4160, 0.3169, 0.2500)  2 Li 1.84
Rb (0.8828, 0.1227, 0.2500)  2 F 2.81-2.92
Rb (0.6172, 0.6227, 0.2500)  2 F 2.81-2.92
Rb (0.3828, 0.3773, 0.7500)  2 F 2.81-2.92
Rb (0.1172, 0.8773, 0.7500)  2 F 2.81-2.92